(1)
The following is a PBE calculation of a geometry-optimized SrAu3Se structure, from Alexandria via LeMat-Bulk.

abc: 5.1306 5.1306 5.1306
angles: 90.00 90.00 90.00
Atoms (fractional coordinates):
Sr 0.0000 0.0000 0.0000
Au 0.0000 0.5000 0.5000
Au 0.5000 0.0000 0.5000
Au 0.5000 0.5000 0.0000
Se 0.5000 0.5000 0.5000

Calculated values
- uncorrected formation energy (eV/f.u.) = -0.795
- final energy (eV per formula unit) = -15.79
- offset from the most stable computed form (meV per atom) = 0
- DOS at the Fermi energy (states/eV per cell) = 2.06

(2)
The following is a PBE calculation of a geometry-optimized SrAu2Se structure, from Alexandria via LeMat-Bulk.

abc: 4.1210 4.1210 5.7740
angles: 90.00 90.00 90.00
Atoms (fractional coordinates):
Sr 0.0000 0.0000 0.0000
Au 0.5000 0.5000 0.2485
Au 0.5000 0.5000 0.7515
Se 0.0000 0.0000 0.5000

Calculated values
- uncorrected formation energy (eV/f.u.) = -2.134
- final energy (eV per formula unit) = -13.86
- DOS at the Fermi energy (states/eV per cell) = 0.66

(3)
The following is a PBE calculation of a geometry-optimized Sr2AuSe2 structure, from Alexandria via LeMat-Bulk.

abc: 8.3389 8.3389 4.0071
angles: 90.00 90.00 90.00
Atoms (fractional coordinates):
Sr 0.1563 0.3437 0.0000
Sr 0.3437 0.8437 0.0000
Sr 0.6563 0.1563 0.0000
Sr 0.8437 0.6563 0.0000
Au 0.0000 0.0000 0.5000
Au 0.5000 0.5000 0.5000
Se 0.1533 0.6533 0.5000
Se 0.3467 0.1533 0.5000
Se 0.6533 0.8467 0.5000
Se 0.8467 0.3467 0.5000

Calculated values
- uncorrected formation energy (eV/f.u.) = -6.468
- final energy (eV per formula unit) = -20.08
- DOS at the Fermi energy (states/eV per cell) = 2.88

(4)
The following is a PBE calculation of a geometry-optimized SrAu2Se structure, from Alexandria via LeMat-Bulk.

abc: 4.0596 4.7964 5.4045
angles: 90.00 90.39 90.00
Atoms (fractional coordinates):
Sr 0.0000 0.0000 0.0000
Au 0.4989 0.5000 0.7558
Au 0.5011 0.5000 0.2442
Se 0.5000 0.0000 0.5000

Calculated values
- uncorrected formation energy (eV/f.u.) = -2.957
- final energy (eV per formula unit) = -14.68
- DOS at the Fermi energy (states/eV per cell) = 0.10

(5)
The following is a PBE calculation of a geometry-optimized SrAuSe3 structure, from Alexandria via LeMat-Bulk.

abc: 5.8544 5.8544 5.8544
angles: 90.00 90.00 90.00
Atoms (fractional coordinates):
Sr 0.0000 0.0000 0.0000
Au 0.5000 0.5000 0.5000
Se 0.0000 0.0000 0.5000
Se 0.0000 0.5000 0.0000
Se 0.5000 0.0000 0.0000

Calculated values
- uncorrected formation energy (eV/f.u.) = 2.467
- final energy (eV per formula unit) = -12.95
- offset from the most stable computed form (meV per atom) = 1003
- DOS at the Fermi energy (states/eV per cell) = 2.32

(6)
The following is a PBE calculation of a geometry-optimized SrAu2Se structure, from Alexandria via LeMat-Bulk.

abc: 4.1744 4.1374 5.5195
angles: 90.00 91.07 90.00
Atoms (fractional coordinates):
Sr 0.0000 0.0000 0.0000
Au 0.0000 0.5000 0.5000
Au 0.5000 0.0000 0.5000
Se 0.5000 0.5000 0.0000

Calculated values
- uncorrected formation energy (eV/f.u.) = -2.580
- final energy (eV per formula unit) = -14.30
- DOS at the Fermi energy (states/eV per cell) = 0.88

(7)
The following is a PBE calculation of a geometry-optimized SrAu2Se structure, from Alexandria via LeMat-Bulk.

abc: 4.0508 4.0508 6.3975
angles: 90.00 90.00 90.00
Atoms (fractional coordinates):
Sr 0.0000 0.0000 0.0000
Au 0.0000 0.0000 0.4694
Au 0.5000 0.5000 0.4547
Se 0.5000 0.5000 0.8761

Calculated values
- uncorrected formation energy (eV/f.u.) = -2.595
- final energy (eV per formula unit) = -14.32
- DOS at the Fermi energy (states/eV per cell) = 1.91

(8)
The following is a PBE calculation of a geometry-optimized Sr4AuSe structure, from Alexandria via LeMat-Bulk.

abc: 6.9773 6.9773 6.9773
angles: 60.00 60.00 60.00
Atoms (fractional coordinates):
Sr 0.1253 0.1253 0.1253
Sr 0.1253 0.1253 0.6241
Sr 0.1253 0.6241 0.1253
Sr 0.6241 0.1253 0.1253
Au 0.7500 0.7500 0.7500
Se 0.5000 0.5000 0.5000

Calculated values
- uncorrected formation energy (eV/f.u.) = 1.094
- final energy (eV per formula unit) = -12.40
- DOS at the Fermi energy (states/eV per cell) = 5.45